Entry from the Alexandria database: crystalline Li2YIr at its relaxed geometry (GGA-PBEsol).

Its symmetry is R3m. As for the energy above the most stable polymorph in this dataset: 0.029 eV/atom. The calculation puts the energy of formation from the pure elements at -1.0 eV/f.u.

Cell and atoms, written as POSCAR:
```
Li2YIr
1.0
2.196 1.268 4.193
-2.196 1.268 4.193
0.000 -2.536 4.193
Li Y Ir
2 1 1
direct
0.000 0.000 0.000 Li
0.272 0.272 0.272 Li
0.783 0.783 0.783 Y
0.554 0.554 0.554 Ir
```



Entry from the Alexandria database: crystalline LiYIr3 at its relaxed geometry (GGA-PBEsol).

Its symmetry is Pm-3m. The calculation puts the energy of formation from the pure elements at 9.6 eV/f.u.

Cell and atoms, written as POSCAR:
```
LiYIr3
1.0
4.912 0.000 0.000
0.000 4.912 0.000
0.000 0.000 4.912
Li Y Ir
1 1 3
direct
0.000 0.000 0.000 Li
0.500 0.500 0.500 Y
0.000 0.500 0.500 Ir
0.500 0.000 0.500 Ir
0.500 0.500 0.000 Ir
```



Entry from the Alexandria database: crystalline Li2YIr at its relaxed geometry (GGA-PBEsol).

Its symmetry is I4/mmm. As for the energy above the most stable polymorph in this dataset: 0.000 eV/atom. The calculation puts the energy of formation from the pure elements at -1.1 eV/f.u.

Cell and atoms, written as POSCAR:
```
Li2YIr
1.0
-1.959 1.959 4.392
1.959 -1.959 4.392
1.959 1.959 -4.392
Li Y Ir
2 1 1
direct
0.250 0.750 0.500 Li
0.750 0.250 0.500 Li
0.000 0.000 0.000 Y
0.500 0.500 0.000 Ir
```



Number 1: DOS(E_F) 0.2063 states/eV/atom. Number 2: DOS(E_F) 1.9961 states/eV/atom. Number 3: DOS(E_F) 0.3462 states/eV/atom.